# Ce7Au3, optimized geometry, DFT PBE-GGA
data_Ce7Au3
_chemical_formula_sum 'Ce14 Au6'
_symmetry_space_group_name_H-M 'P 1'
_symmetry_Int_Tables_number 1
_symmetry_space_group_name_Hall 'P 1'
_cell_length_a 10.029
_cell_length_b 10.029
_cell_length_c 6.357
_cell_angle_alpha 90.00
_cell_angle_beta 90.00
_cell_angle_gamma 120.00
loop_
_atom_site_label
_atom_site_fract_x
_atom_site_fract_y
_atom_site_fract_z
Ce1 0.076 0.538 0.000
Ce2 0.131 0.263 0.242
Ce3 0.131 0.869 0.242
Ce4 0.263 0.131 0.742
Ce5 0.333 0.667 0.392
Ce6 0.462 0.538 0.000
Ce7 0.462 0.924 0.000
Ce8 0.538 0.076 0.500
Ce9 0.538 0.462 0.500
Ce10 0.667 0.333 0.892
Ce11 0.737 0.869 0.242
Ce12 0.869 0.131 0.742
Ce13 0.869 0.737 0.742
Ce14 0.924 0.462 0.500
Au1 0.194 0.389 0.697
Au2 0.194 0.806 0.697
Au3 0.389 0.194 0.197
Au4 0.611 0.806 0.697
Au5 0.806 0.194 0.197
Au6 0.806 0.611 0.197
# **ΔH_f (0 K)**: -0.315 eV/atom
# **Symmetry**: P6_3mc (186)
# **E**: -5.452 eV per atom